(A)
Compound: BF3
Source: Alexandria
Functional: PBE
Structure: optimized geometry

Geometry as extended XYZ:
```
32
Lattice="4.7939 0.0000 0.0000 0.0000 14.2489 0.0000 -2.2142 0.0000 7.1385" Properties=species:S:1:pos:R:3 pbc="T T T"
B -0.5162 1.6660 1.9786
B -1.6232 5.4585 5.5478
B 0.1314 9.0505 5.2600
B 1.2385 12.3228 1.6907
B 1.3413 1.9261 5.4478
B 2.4483 5.1984 1.8785
B 4.2030 8.7904 1.5907
B 3.0959 12.5830 5.1599
F -0.0613 1.8117 0.7352
F -1.1684 5.3127 4.3044
F 0.5736 8.2024 1.3681
F -0.5335 13.1710 4.9374
F 0.2110 2.1225 2.9956
F -0.8961 5.0019 6.5648
F -0.4730 10.2118 5.5069
F 0.6341 11.1616 1.9377
F -0.4689 7.9174 5.6132
F 0.6381 13.4559 2.0440
F 0.1532 1.9046 6.0305
F 1.2603 5.2198 2.4613
F 1.3194 9.0291 4.6772
F 2.4265 12.3443 1.1080
F 1.9416 0.7930 5.0945
F 3.0487 6.3315 1.5253
F 1.9456 3.0873 5.2008
F 3.0527 4.0371 1.6316
F 3.4759 9.2470 0.5737
F 2.3688 12.1264 4.1429
F 3.1132 1.0779 2.2011
F 2.0062 6.0465 5.7704
F 3.7481 8.9362 2.8341
F 2.6410 12.4372 6.4033
```



(B)
Compound: BF3
Source: Alexandria
Functional: PBE
Structure: optimized geometry

Geometry as extended XYZ:
```
16
Lattice="5.0334 0.0000 0.0000 0.0000 5.0334 0.0000 0.0000 0.0000 5.0334" Properties=species:S:1:pos:R:3 pbc="T T T"
B 0.0000 0.0000 0.0000
B 0.0000 2.5167 2.5167
B 2.5167 0.0000 2.5167
B 2.5167 2.5167 0.0000
F 0.0000 0.0000 2.5167
F 0.0000 2.5167 0.0000
F 1.2583 1.2583 1.2583
F 1.2583 1.2583 3.7750
F 1.2583 3.7750 1.2583
F 1.2583 3.7750 3.7750
F 2.5167 0.0000 0.0000
F 2.5167 2.5167 2.5167
F 3.7750 1.2583 1.2583
F 3.7750 1.2583 3.7750
F 3.7750 3.7750 1.2583
F 3.7750 3.7750 3.7750
```



If we sort the structures by their calculated energies, the order from most to least stable is (A), (B).